Record 1
An optimized crystal structure of NdMgNi. Source: the Alexandria database, functional PBE.

Properties
As for the space group: Pnma, No. 62. The formation energy is -0.1811 eV/atom.

Geometry as extended XYZ:
```
12
Lattice="4.8524 0.0000 0.0000 0.0000 6.8232 0.0000 0.0000 0.0000 7.8973" Properties=species:S:1:pos:R:3 pbc="T T T"
Mg 1.2131 2.5131 2.5112
Mg 3.6393 4.3100 5.3861
Mg 1.2131 0.8985 6.4598
Mg 3.6393 5.9247 1.4375
Nd 3.6393 2.1155 0.4112
Nd 1.2131 4.7077 7.4861
Nd 3.6393 1.2961 4.3598
Nd 1.2131 5.5271 3.5375
Ni 1.2131 3.0572 5.0477
Ni 3.6393 3.7660 2.8496
Ni 1.2131 0.3544 1.0990
Ni 3.6393 6.4688 6.7983
```

---

Record 2
An optimized crystal structure of Nd12MgNi5. Source: the Alexandria database, functional PBE.

Properties
As for the space group: Immm, No. 71. The formation energy is -0.1912 eV/atom.

Geometry as extended XYZ:
```
18
Lattice="-1.2893 -2.8949 -8.0508 6.6701 5.5107 0.0336 1.9794 -6.3930 5.4836" Properties=species:S:1:pos:R:3 pbc="T T T"
Ni 1.4100 -4.7526 -0.6043
Ni 3.3936 1.6498 -5.0564
Ni 1.9871 0.9660 -2.9608
Ni 5.9501 0.9754 -1.9293
Ni 0.0000 0.0000 0.0000
Nd 6.1919 -1.4718 -0.3334
Nd 1.2836 -0.3197 -5.4838
Nd 5.9139 2.2697 0.7007
Nd 6.0766 -3.4576 2.9502
Nd 2.7979 0.3156 -0.3896
Nd 4.5623 -4.0928 -2.1440
Nd 7.8952 -0.2044 2.8618
Nd 1.4462 -6.0469 -3.2343
Nd 2.9978 -3.1435 0.9863
Nd 1.1682 -2.3055 -2.2002
Nd 4.3624 -0.6338 -3.5199
Nd -0.5350 -3.5728 -5.3954
Mg 4.3247 -0.4412 2.7586
```

---

Record 3
An optimized crystal structure of Nd3MgNi8. Source: the Alexandria database, functional PBE.

Properties
As for the space group: R3m, No. 160. The formation energy is -0.3209 eV/atom.

Geometry as extended XYZ:
```
12
Lattice="-4.8882 0.1318 -1.3848 -3.5893 -1.6751 3.1844 -3.5369 7.1712 3.8414" Properties=species:S:1:pos:R:3 pbc="T T T"
Ni -6.8256 0.7700 0.8228
Ni -8.5845 4.2751 2.7312
Ni -3.1351 2.8283 2.0097
Ni -10.3621 3.4455 4.3083
Ni -9.1439 5.6600 4.8377
Ni -4.3662 0.7037 1.5195
Ni -6.1721 -0.1391 3.1217
Ni -7.9412 3.3802 4.9941
Nd -6.2694 5.6485 4.0160
Nd -8.4901 -1.4070 1.8571
Nd -5.9974 2.7086 2.7761
Mg -8.7498 1.4002 3.0411
```

---

Record 4
An optimized crystal structure of NdMgNi2P2. Source: the Alexandria database, functional PBE.

Properties
As for the space group: P-3m1, No. 164. The formation energy is -0.8751 eV/atom.

Geometry as extended XYZ:
```
6
Lattice="3.9742 0.0000 0.0000 -1.9871 3.4417 0.0000 0.0000 0.0000 6.9045" Properties=species:S:1:pos:R:3 pbc="T T T"
Ni 0.0000 2.2945 4.7059
Ni 1.9871 1.1472 2.1986
P 0.0000 2.2945 1.9220
P 1.9871 1.1472 4.9825
Mg 0.0000 0.0000 3.4523
Nd 0.0000 0.0000 0.0000
```

---

Record 5
An optimized crystal structure of Nd2MgNi4P3. Source: the Alexandria database, functional PBE.

Properties
As for the space group: P-4m2, No. 115. The formation energy is -0.8513 eV/atom.

Geometry as extended XYZ:
```
10
Lattice="-2.8610 2.7317 -0.4179 -0.3331 -0.9380 -3.8512 -6.8136 -6.7927 2.2437" Properties=species:S:1:pos:R:3 pbc="T T T"
Ni 0.0000 0.0000 0.0000
Ni -2.5884 -2.8835 -1.1281
Ni -5.8222 -3.0123 1.2372
Ni -1.5970 0.8969 -2.1345
P -7.3811 -4.5665 1.7505
P -1.0295 -1.3293 -1.6414
P -3.4068 -3.3963 1.1218
Mg -5.0038 -2.4995 -1.0127
Nd -3.0306 -0.2293 0.3179
Nd -5.3800 -5.6665 -0.2088
```

---

Record 6
An optimized crystal structure of PmNdMgNi. Source: the Alexandria database, functional PBE.

Properties
As for the space group: F-43m, No. 216. The formation energy is -0.0434 eV/atom.

Geometry as extended XYZ:
```
4
Lattice="-1.4935 4.6465 1.8074 -5.0642 1.1000 0.4807 -2.1414 0.3875 4.7277" Properties=species:S:1:pos:R:3 pbc="T T T"
Mg -4.3496 3.0670 3.5079
Nd -2.1748 1.5335 1.7540
Pm -6.5244 4.6005 5.2619
Ni 0.0000 0.0000 0.0000
```

---

Record 7
An optimized crystal structure of PrNdMgNi. Source: the Alexandria database, functional PBE.

Properties
As for the space group: F-43m, No. 216. The formation energy is -0.0264 eV/atom.

Geometry as extended XYZ:
```
4
Lattice="5.2417 0.0000 0.0000 2.6208 4.5394 0.0000 2.6208 1.5131 4.2798" Properties=species:S:1:pos:R:3 pbc="T T T"
Nd 2.6208 1.5131 1.0699
Pr 7.8625 4.5394 3.2098
Mg 5.2417 3.0263 2.1399
Ni 0.0000 0.0000 0.0000
```

---

Record 8
An optimized crystal structure of NdMgNiRh. Source: the Alexandria database, functional PBE.

Properties
As for the space group: F-43m, No. 216. The formation energy is -0.3442 eV/atom.

Geometry as extended XYZ:
```
4
Lattice="4.7277 0.0000 0.0000 2.3639 4.0943 0.0000 2.3639 1.3648 3.8602" Properties=species:S:1:pos:R:3 pbc="T T T"
Rh 4.7277 2.7296 1.9301
Ni 0.0000 0.0000 0.0000
Nd 7.0916 4.0943 2.8951
Mg 2.3639 1.3648 0.9650
```